1.
The following is a DFT calculation (PBE-GGA) of a relaxed Cr2RhSe crystal.

The final energy is -29.250 eV/f.u. The formation energy from raw total energies comes out at 0.2081 eV/atom. As for the spin magnetization: 0.01 μB/cell.

The space group is Immm (No. 71) and the conventional cell measures 2.9319, 4.3104 and 8.4624 Å, with angles of 90.00, 90.00 and 90.00 degrees. Symmetry generates all atoms from Cr at (0.0000, 0.0000, 0.2245), Rh at (0.0000, 0.5000, 0.0000) and Se at (0.0000, 0.5000, 0.5000).

2.
The following is a DFT calculation (PBE-GGA) of a relaxed CrRhSe crystal.

The final energy is -20.152 eV/f.u. The formation energy from raw total energies comes out at 0.1026 eV/atom. The calculation puts the distance to the lowest polymorph of the same formula at 119 meV/atom. As for the spin magnetization: 6.15 μB/cell.

The space group is Imm2 (No. 44) and the conventional cell measures 3.4966, 3.5073 and 7.6983 Å, with angles of 90.00, 90.00 and 90.00 degrees. Symmetry generates all atoms from Cr at (0.0000, 0.0000, 0.0000), Rh at (0.0000, 0.0000, 0.6448) and Se at (0.0000, 0.0000, 0.3256).

3.
The following is a DFT calculation (PBE-GGA) of a relaxed Cr2RhSe crystal.

The final energy is -29.035 eV/f.u. The formation energy from raw total energies comes out at 0.2619 eV/atom. As for the spin magnetization: 0.00 μB/cell.

The space group is R-3m (No. 166, hexagonal axes) and the conventional cell measures 2.7931, 2.7931 and 23.9668 Å, with angles of 90.00, 90.00 and 120.00 degrees. Symmetry generates all atoms from Cr at (0.0000, 0.0000, 0.2469), Rh at (0.0000, 0.0000, 0.0000) and Se at (0.0000, 0.0000, 0.5000).

4.
The following is a DFT calculation (PBE-GGA) of a relaxed CrRhSe4 crystal.

The final energy is -32.429 eV/f.u. The formation energy from raw total energies comes out at -0.2527 eV/atom. The calculation puts the distance to the lowest polymorph of the same formula at 136 meV/atom. As for the spin magnetization: 3.20 μB/cell.

The space group is Cmmm (No. 65) and the conventional cell measures 8.0832, 8.1040 and 3.8256 Å, with angles of 90.00, 90.00 and 90.00 degrees. Symmetry generates all atoms from Cr at (0.0000, 0.0000, 0.0000), Rh at (0.0000, 0.5000, 0.5000), Se at (0.0000, 0.3032, 0.0000) and Se at (0.1913, 0.0000, 0.5000).

5.
The following is a DFT calculation (PBE-GGA) of a relaxed Cr3RhSe crystal.

The final energy is -34.426 eV/f.u. The formation energy from raw total energies comes out at 1.0560 eV/atom. The calculation puts the distance to the lowest polymorph of the same formula at 26 meV/atom. As for the spin magnetization: 11.73 μB/cell.

The space group is Pm-3m (No. 221) and the conventional cell measures 4.7646, 4.7646 and 4.7646 Å, with angles of 90.00, 90.00 and 90.00 degrees. Symmetry generates all atoms from Cr at (0.0000, 0.0000, 0.5000), Rh at (0.0000, 0.0000, 0.0000) and Se at (0.5000, 0.5000, 0.5000).

6.
The following is a DFT calculation (PBE-GGA) of a relaxed CrRhSe crystal.

The final energy is -20.510 eV/f.u. The formation energy from raw total energies comes out at -0.0168 eV/atom. The calculation puts the distance to the lowest polymorph of the same formula at 0 meV/atom. As for the spin magnetization: 11.97 μB/cell.

The space group is F-43m (No. 216) and the conventional cell measures 5.9428, 5.9428 and 5.9428 Å, with angles of 90.00, 90.00 and 90.00 degrees. Symmetry generates all atoms from Cr at (0.0000, 0.0000, 0.0000), Rh at (0.2500, 0.2500, 0.7500) and Se at (0.0000, 0.0000, 0.5000).